Crystalline AcPu2Si2 at its relaxed geometry, computed with PBE-GGA.

a = 7.2663 Å, b = 7.2663 Å, c = 7.2663 Å
α = 145.02°, β = 145.02°, γ = 50.31°
Closest atoms and distances in Å follow each position.
Fractional coordinates of all 5 atoms:
Ac  0.0000  0.0000  0.0000  8 Si 3.32
Pu  0.2500  0.7500  0.5000  4 Si 3.00, 4 Pu 3.09
Pu  0.7500  0.2500  0.5000  4 Si 3.00, 4 Pu 3.09
Si  0.4069  0.4069  0.0000  1 Si 2.45
Si  0.5931  0.5931  0.0000  1 Si 2.45

Computed properties:
As for the space-group type: No. 139. The energy relative to the elements, uncorrected is -0.412 eV per atom. For the total energy, the calculation gives -9.136 eV/atom.